This record from the Alexandria database describes a relaxed Sr2CuSi2 crystal. The functional is PBE.

## Properties
Final energy, eV per atom: -3.90
E_form (uncorrected), meV per atom: -239
V, Å³/cell: 119.1
Polymorph energy (0 for the lowest one), meV/atom: 0

a b c (Å): 4.4868 4.1693 6.7011
angles (deg): 108.12 90.00 90.00
Fractional positions:
1 Sr 0.0000 0.6846 0.3691
2 Sr 0.0000 0.9319 0.8638
3 Cu 0.5000 0.1089 0.2177
4 Si 0.5000 0.3112 0.6224
5 Si 0.5000 0.5056 0.0111